3
Lattice="-1.921 1.921 5.124 1.921 -1.921 5.124 1.921 1.921 -5.124" Properties=species:S:1:pos:R:3 comment="ErScSb (GGA-PBE, relaxed)" formation_energy_uncorrected_kj_per_mol_atoms=-57.2 energy_ev_per_atom=-5.60 pbc="T T T"
Er 0.000 0.000 0.000
Sc 0.000 0.000 7.045
Sb 0.000 0.000 3.365